First-principles (PBE-GGA) data for an optimized crystal structure of ZrI3O, as listed in the Alexandria database.

a = 5.0357 Å, b = 5.0357 Å, c = 5.0357 Å
α = 90.00°, β = 90.00°, γ = 90.00°
Last column: nearest neighbours and their distance in Å.
Element x y z (fractional)
I (0.0000, 0.0000, 0.5000)  2 O 2.52
I (0.0000, 0.5000, 0.0000)  2 O 2.52
O (0.0000, 0.0000, 0.0000)  6 I 2.52
Zr (0.5000, 0.5000, 0.5000)  12 I 3.56
I (0.5000, 0.0000, 0.0000)  2 O 2.52

Computed properties:
Raw total energy in eV/atom: -3.088
Formation energy from raw total energies in eV/atom: 0.54
Crystal system: cubic